[1]
Ho4CoSe3 (PBE, optimized geometry); space-group type = Cmmm
1.0
-2.026 2.678 -2.033
-5.617 -4.348 -0.129
-0.479 4.052 5.816
Co Ho Se
1 4 3
direct
0.500 0.000 0.000 Co
0.000 0.221 0.221 Ho
0.500 0.766 0.234 Ho
0.000 0.779 0.779 Ho
0.500 0.234 0.766 Ho
0.000 0.000 0.500 Se
0.500 0.500 0.500 Se
0.000 0.500 0.000 Se

---

[2]
Ho5Co2Se2 (PBE, optimized geometry); space-group type = Cmce
1.0
-5.313 3.111 4.183
3.069 -2.893 6.050
1.523 7.636 2.879
Ho Co Se
10 4 4
direct
0.000 0.000 0.000 Ho
0.500 0.500 0.000 Ho
0.459 0.160 0.754 Ho
0.788 0.840 0.754 Ho
0.288 0.660 0.754 Ho
0.959 0.340 0.754 Ho
0.541 0.840 0.246 Ho
0.212 0.160 0.246 Ho
0.712 0.340 0.246 Ho
0.041 0.660 0.246 Ho
0.131 0.372 0.000 Co
0.869 0.628 0.000 Co
0.369 0.872 0.000 Co
0.631 0.128 0.000 Co
0.208 0.000 0.584 Se
0.708 0.500 0.584 Se
0.792 0.000 0.416 Se
0.292 0.500 0.416 Se

---

[3]
Ho3Co5Se12 (PBE, optimized geometry); space-group type = Ia-3d
1.0
-5.304 1.314 11.931
-1.778 -12.288 -4.249
12.848 2.600 0.615
Ho Co Se
12 20 48
direct
0.750 0.375 0.125 Ho
0.875 0.750 0.125 Ho
0.375 0.750 0.625 Ho
0.250 0.125 0.375 Ho
0.875 0.125 0.250 Ho
0.375 0.625 0.250 Ho
0.625 0.375 0.750 Ho
0.125 0.875 0.750 Ho
0.750 0.875 0.625 Ho
0.625 0.250 0.375 Ho
0.125 0.250 0.875 Ho
0.250 0.625 0.875 Ho
0.125 0.375 0.250 Co
0.000 0.500 0.000 Co
0.000 0.000 0.000 Co
0.375 0.250 0.125 Co
0.500 0.000 0.500 Co
0.500 0.500 0.000 Co
0.125 0.750 0.375 Co
0.750 0.125 0.875 Co
0.750 0.625 0.375 Co
0.375 0.125 0.750 Co
0.625 0.875 0.250 Co
0.500 0.500 0.500 Co
0.500 0.000 0.000 Co
0.000 0.000 0.500 Co
0.250 0.375 0.625 Co
0.250 0.875 0.125 Co
0.000 0.500 0.500 Co
0.875 0.250 0.625 Co
0.625 0.750 0.875 Co
0.875 0.625 0.750 Co
0.702 0.116 0.026 Se
0.324 0.526 0.411 Se
0.974 0.384 0.298 Se
0.526 0.202 0.116 Se
0.587 0.702 0.676 Se
0.974 0.589 0.176 Se
0.324 0.798 0.413 Se
0.089 0.913 0.116 Se
0.589 0.974 0.676 Se
0.702 0.587 0.176 Se
0.798 0.474 0.384 Se
0.824 0.911 0.026 Se
0.116 0.702 0.526 Se
0.384 0.411 0.087 Se
0.087 0.911 0.384 Se
0.413 0.116 0.589 Se
0.087 0.176 0.202 Se
0.474 0.676 0.089 Se
0.824 0.913 0.298 Se
0.116 0.413 0.089 Se
0.384 0.974 0.798 Se
0.589 0.616 0.413 Se
0.911 0.824 0.526 Se
0.798 0.324 0.913 Se
0.411 0.384 0.587 Se
0.089 0.176 0.474 Se
0.202 0.676 0.087 Se
0.176 0.087 0.702 Se
0.616 0.026 0.202 Se
0.884 0.587 0.911 Se
0.526 0.324 0.911 Se
0.587 0.884 0.411 Se
0.913 0.824 0.798 Se
0.913 0.089 0.616 Se
0.884 0.298 0.474 Se
0.176 0.089 0.974 Se
0.616 0.589 0.913 Se
0.411 0.026 0.324 Se
0.298 0.413 0.824 Se
0.202 0.526 0.616 Se
0.911 0.087 0.884 Se
0.676 0.202 0.587 Se
0.474 0.798 0.884 Se
0.026 0.411 0.824 Se
0.413 0.298 0.324 Se
0.026 0.616 0.702 Se
0.676 0.474 0.589 Se
0.298 0.884 0.974 Se

---

[4]
Ho6CoSe5 (PBE, optimized geometry); space-group type = C2/m
1.0
6.958 0.187 1.067
1.729 5.930 3.458
0.124 0.067 7.067
Co Ho Se
1 6 5
direct
0.000 0.000 0.000 Co
0.771 0.075 0.304 Ho
0.229 0.622 0.304 Ho
0.234 0.225 0.000 Ho
0.766 0.775 0.000 Ho
0.771 0.378 0.696 Ho
0.229 0.925 0.696 Ho
0.500 0.178 0.644 Se
0.000 0.335 0.330 Se
0.500 0.500 0.000 Se
0.000 0.665 0.670 Se
0.500 0.822 0.356 Se

---

Which DOS at the Fermi energy belongs to each record? In order, 6.27; 8.24; 17.70; 7.97 states/eV/f.u..
Which energy relative to the elements, uncorrected belongs to each record? In order, -1.33; -0.85; -0.70; -1.52 eV/atom.